[1]
# GGA-PBE Er2TiCd, relaxed
# - energy relative to the lowest polymorph listed for this composition (eV/f.u.) = 1.636
data_Er2TiCd
_cell_length_a 3.2601
_cell_length_b 3.2601
_cell_length_c 33.7743
_cell_angle_alpha 90.00
_cell_angle_beta 90.00
_cell_angle_gamma 120.00
_space_group_name_H-M_alt 'R -3 m'
_space_group_IT_number 166
_space_group_name_Hall '-R 3 2"'
loop_
_atom_site_label
_atom_site_type_symbol
_atom_site_fract_x
_atom_site_fract_y
_atom_site_fract_z
Er1 Er 0.0000 0.0000 0.0870
Ti1 Ti 0.0000 0.0000 0.0000
Cd1 Cd 0.0000 0.0000 0.5000

[2]
# GGA-PBE Er2TiCd, relaxed
# - energy relative to the lowest polymorph listed for this composition (eV/f.u.) = 0.382
data_Er2TiCd
_cell_length_a 7.340
_cell_length_b 7.340
_cell_length_c 7.340
_cell_angle_alpha 90.00
_cell_angle_beta 90.00
_cell_angle_gamma 90.00
_space_group_name_H-M_alt 'F m -3 m'
_space_group_IT_number 225
_space_group_name_Hall '-F 4 2 3'
loop_
_atom_site_label
_atom_site_type_symbol
_atom_site_fract_x
_atom_site_fract_y
_atom_site_fract_z
Er1 Er 0.250 0.250 0.250
Ti1 Ti 0.000 0.000 0.000
Cd1 Cd 0.000 0.000 0.500

[3]
# GGA-PBE Er2TiCd, relaxed
# - energy relative to the lowest polymorph listed for this composition (eV/f.u.) = 0.000
data_Er2TiCd
_cell_length_a 3.384
_cell_length_b 3.384
_cell_length_c 8.568
_cell_angle_alpha 90.00
_cell_angle_beta 90.00
_cell_angle_gamma 90.00
_space_group_name_H-M_alt 'P 4/m m m'
_space_group_IT_number 123
_space_group_name_Hall '-P 4 2'
loop_
_atom_site_label
_atom_site_type_symbol
_atom_site_fract_x
_atom_site_fract_y
_atom_site_fract_z
Er1 Er 0.000 0.000 0.240
Ti1 Ti 0.500 0.500 0.000
Cd1 Cd 0.500 0.500 0.500

[4]
# GGA-PBE Er2TiCd, relaxed
# - energy relative to the lowest polymorph listed for this composition (eV/f.u.) = 0.282
data_Er2TiCd
_cell_length_a 5.020
_cell_length_b 5.020
_cell_length_c 3.935
_cell_angle_alpha 90.00
_cell_angle_beta 90.00
_cell_angle_gamma 90.00
_space_group_name_H-M_alt 'P 4/m m m'
_space_group_IT_number 123
_space_group_name_Hall '-P 4 2'
loop_
_atom_site_label
_atom_site_type_symbol
_atom_site_fract_x
_atom_site_fract_y
_atom_site_fract_z
Er1 Er 0.000 0.500 0.000
Ti1 Ti 0.000 0.000 0.500
Cd1 Cd 0.500 0.500 0.500

[5]
Material: ErTiTlCd
Method: DFT, GGA-PBE
State: relaxed

```
data_ErTiTlCd
_cell_length_a 7.164
_cell_length_b 7.164
_cell_length_c 7.164
_cell_angle_alpha 90.00
_cell_angle_beta 90.00
_cell_angle_gamma 90.00
_space_group_name_H-M_alt 'F -4 3 m'
_space_group_IT_number 216
_space_group_name_Hall 'F -4 2 3'
loop_
_atom_site_label
_atom_site_type_symbol
_atom_site_fract_x
_atom_site_fract_y
_atom_site_fract_z
Er1 Er 0.000 0.000 0.000
Ti1 Ti 0.000 0.000 0.500
Tl1 Tl 0.250 0.250 0.250
Cd1 Cd 0.250 0.250 0.750
```

[6]
Material: ErTlCd
Method: DFT, GGA-PBE
State: relaxed

```
data_ErTlCd
_cell_length_a 5.061
_cell_length_b 5.061
_cell_length_c 7.078
_cell_angle_alpha 90.00
_cell_angle_beta 90.00
_cell_angle_gamma 90.00
_space_group_name_H-M_alt 'I -4 m 2'
_space_group_IT_number 119
_space_group_name_Hall 'I -4 -2'
loop_
_atom_site_label
_atom_site_type_symbol
_atom_site_fract_x
_atom_site_fract_y
_atom_site_fract_z
Er1 Er 0.000 0.000 0.000
Tl1 Tl 0.000 0.500 0.250
Cd1 Cd 0.000 0.500 0.750
```

[7]
Material: ErTlCd
Method: DFT, GGA-PBE
State: relaxed

```
data_ErTlCd
_cell_length_a 3.4240
_cell_length_b 3.4240
_cell_length_c 25.1781
_cell_angle_alpha 90.00
_cell_angle_beta 90.00
_cell_angle_gamma 120.00
_space_group_name_H-M_alt 'R 3 m'
_space_group_IT_number 160
_space_group_name_Hall 'R 3 -2"'
loop_
_atom_site_label
_atom_site_type_symbol
_atom_site_fract_x
_atom_site_fract_y
_atom_site_fract_z
Er1 Er 0.0000 0.0000 0.0000
Tl1 Tl 0.0000 0.0000 0.5616
Cd1 Cd 0.0000 0.0000 0.1242
```

[8]
Material: Er5TlCd4
Method: DFT, GGA-PBE
State: relaxed

```
data_Er5TlCd4
_cell_length_a 3.725
_cell_length_b 3.725
_cell_length_c 18.599
_cell_angle_alpha 90.00
_cell_angle_beta 90.00
_cell_angle_gamma 90.00
_space_group_name_H-M_alt 'P 4/m m m'
_space_group_IT_number 123
_space_group_name_Hall '-P 4 2'
loop_
_atom_site_label
_atom_site_type_symbol
_atom_site_fract_x
_atom_site_fract_y
_atom_site_fract_z
Er1 Er 0.000 0.000 0.000
Er2 Er 0.000 0.000 0.199
Er3 Er 0.000 0.000 0.396
Tl1 Tl 0.500 0.500 0.500
Cd1 Cd 0.500 0.500 0.100
Cd2 Cd 0.500 0.500 0.296
```

[9]
# GGA-PBE ErTl2Cd, relaxed
# - energy relative to the lowest polymorph listed for this composition (eV/f.u.) = 0.547
data_ErTl2Cd
_cell_length_a 3.691
_cell_length_b 3.691
_cell_length_c 7.724
_cell_angle_alpha 90.00
_cell_angle_beta 90.00
_cell_angle_gamma 90.00
_space_group_name_H-M_alt 'P 4/m m m'
_space_group_IT_number 123
_space_group_name_Hall '-P 4 2'
loop_
_atom_site_label
_atom_site_type_symbol
_atom_site_fract_x
_atom_site_fract_y
_atom_site_fract_z
Er1 Er 0.000 0.000 0.000
Tl1 Tl 0.500 0.500 0.257
Cd1 Cd 0.000 0.000 0.500

[10]
# GGA-PBE Er3TlCd, relaxed
# - energy relative to the lowest polymorph listed for this composition (eV/f.u.) = 0.917
data_Er3TlCd
_cell_length_a 11.513
_cell_length_b 6.295
_cell_length_c 16.395
_cell_angle_alpha 90.00
_cell_angle_beta 106.95
_cell_angle_gamma 90.00
_space_group_name_H-M_alt 'C 1 2/c 1'
_space_group_IT_number 15
_space_group_name_Hall '-C 2yc'
loop_
_atom_site_label
_atom_site_type_symbol
_atom_site_fract_x
_atom_site_fract_y
_atom_site_fract_z
Er1 Er 0.014 0.218 0.060
Er2 Er 0.211 0.124 0.804
Er3 Er 0.243 0.358 0.394
Tl1 Tl 0.000 0.230 0.250
Tl2 Tl 0.250 0.250 0.000
Cd1 Cd 0.024 0.330 0.647

[11]
Material: Er2TlCd3
Method: DFT, GGA-PBE
State: relaxed

```
data_Er2TlCd3
_cell_length_a 6.900
_cell_length_b 9.994
_cell_length_c 17.181
_cell_angle_alpha 90.00
_cell_angle_beta 90.00
_cell_angle_gamma 90.00
_space_group_name_H-M_alt 'F m m m'
_space_group_IT_number 69
_space_group_name_Hall '-F 2 2'
loop_
_atom_site_label
_atom_site_type_symbol
_atom_site_fract_x
_atom_site_fract_y
_atom_site_fract_z
Er1 Er 0.250 0.000 0.000
Er2 Er 0.250 0.250 0.250
Tl1 Tl 0.000 0.000 0.167
Cd1 Cd 0.000 0.000 0.336
Cd2 Cd 0.000 0.247 0.418
```

[12]
Material: Er3Tl2Cd3
Method: DFT, GGA-PBE
State: relaxed

```
data_Er3Tl2Cd3
_cell_length_a 7.5697
_cell_length_b 7.5697
_cell_length_c 4.2276
_cell_angle_alpha 90.00
_cell_angle_beta 90.00
_cell_angle_gamma 120.00
_space_group_name_H-M_alt 'P -6 2 m'
_space_group_IT_number 189
_space_group_name_Hall 'P -6 -2'
loop_
_atom_site_label
_atom_site_type_symbol
_atom_site_fract_x
_atom_site_fract_y
_atom_site_fract_z
Er1 Er 0.0000 0.3990 0.0000
Tl1 Tl 0.3333 0.6667 0.5000
Cd1 Cd 0.0000 0.7734 0.5000
```

[13]
Material: Er7TlCd4
Method: DFT, GGA-PBE
State: relaxed

```
data_Er7TlCd4
_cell_length_a 14.592
_cell_length_b 5.726
_cell_length_c 9.326
_cell_angle_alpha 90.00
_cell_angle_beta 121.28
_cell_angle_gamma 90.00
_space_group_name_H-M_alt 'C 1 2/m 1'
_space_group_IT_number 12
_space_group_name_Hall '-C 2y'
loop_
_atom_site_label
_atom_site_type_symbol
_atom_site_fract_x
_atom_site_fract_y
_atom_site_fract_z
Er1 Er 0.000 0.000 0.000
Er2 Er 0.076 0.500 0.419
Er3 Er 0.191 0.500 0.875
Er4 Er 0.245 0.000 0.710
Tl1 Tl 0.000 0.500 0.000
Cd1 Cd 0.036 0.000 0.690
Cd2 Cd 0.185 0.000 0.346
```

Across the entries above, volume takes the values 311 395 98 99 368 181 256 258 105 1137 1185 210 666 Å³ per cell, respectively.
Across the entries above, magnetization takes the values 0.534 0.638 0.000 0.675 0.472 0.000 0.000 0.000 0.071 0.001 0.000 0.000 0.000 μB/atom, respectively.
Across the entries above, E_tot takes the values -49.543 -71.076 -18.151 -17.868 -63.704 -15.095 -22.508 -32.015 -10.500 -138.474 -126.953 -22.930 -77.777 eV per cell, respectively.